A plane-wave DFT calculation with PBE-GGA was carried out for crystalline KAcHg at its relaxed geometry.

Geometry as POSCAR:
```
KAcHg
1.0
-2.058 2.058 7.769
2.058 -2.058 7.769
2.058 2.058 -7.769
K Ac Hg
1 1 1
Direct
0.000 0.000 0.000
0.264 0.264 0.000
0.662 0.662 0.000
```

Output
SG: No. 107
Formation energy from the elements in eV per atom: -0.129
Magnetization in μB/atom: 0.000
Calculated volume in Å³/f.u.: 131.6
Fermi-level density of states in states/eV/atom: 0.75